# 1
The following is a PBE calculation of a relaxed structure of ErTlTeO4, from Alexandria via LeMat-Bulk.

Structure (CIF):
```
data_ErTlTeO4
_space_group_name_H-M_alt 'P 1 21/m 1'
_space_group_IT_number 11
_cell_length_a 5.875
_cell_length_b 6.021
_cell_length_c 7.688
_cell_angle_alpha 90.00
_cell_angle_beta 104.20
_cell_angle_gamma 90.00
loop_
_space_group_symop_operation_xyz
'x,y,z'
'-x,-y,-z'
'-x,y+1/2,-z'
'x,-y+1/2,z'
loop_
_atom_site_label
_atom_site_type_symbol
_atom_site_fract_x
_atom_site_fract_y
_atom_site_fract_z
Er1 Er 0.165 0.250 0.459
Tl1 Tl 0.076 0.750 0.128
Te1 Te 0.401 0.750 0.748
O1 O 0.154 0.511 0.666
O2 O 0.237 0.250 0.187
O3 O 0.442 0.750 0.508
```

Crystal system: monoclinic
Calculated total energy: -85.33 eV for the cell shown
DOS(E_F): 0.0 states/eV per cell
Calculated volume: 263.6 Å³ per cell

---

# 2
The following is a PBE calculation of a relaxed structure of Er2TlTeO8, from Alexandria via LeMat-Bulk.

Structure (CIF):
```
data_Er2TlTeO8
_space_group_name_H-M_alt 'C m m m'
_space_group_IT_number 65
_space_group_name_Hall '-C 2 2'
_cell_length_a 6.854
_cell_length_b 7.124
_cell_length_c 7.011
_cell_angle_alpha 90.00
_cell_angle_beta 90.00
_cell_angle_gamma 90.00
loop_
_atom_site_label
_atom_site_type_symbol
_atom_site_fract_x
_atom_site_fract_y
_atom_site_fract_z
Er1 Er 0.000 0.000 0.249
Tl1 Tl 0.000 0.500 0.500
Te1 Te 0.000 0.500 0.000
O1 O 0.000 0.312 0.202
O2 O 0.196 0.000 0.500
O3 O 0.217 0.000 0.000
```

Crystal system: orthorhombic
Calculated total energy: -154.95 eV for the cell shown
DOS(E_F): 18.0 states/eV per cell
Calculated volume: 342.3 Å³ per cell

---

# 3
The following is a PBE calculation of a relaxed structure of ErTl2Te3O12, from Alexandria via LeMat-Bulk.

Structure (CIF):
```
data_ErTl2Te3O12
_space_group_name_H-M_alt 'R -3 m'
_space_group_IT_number 166
_space_group_name_Hall '-R 3 2"'
_cell_length_a 7.4004
_cell_length_b 7.4004
_cell_length_c 18.6907
_cell_angle_alpha 90.00
_cell_angle_beta 90.00
_cell_angle_gamma 120.00
loop_
_atom_site_label
_atom_site_type_symbol
_atom_site_fract_x
_atom_site_fract_y
_atom_site_fract_z
Er1 Er 0.0000 0.0000 0.0000
Tl1 Tl 0.0000 0.0000 0.3561
Te1 Te 0.0000 0.5000 0.5000
O1 O 0.0462 0.5231 0.6000
O2 O 0.0704 0.5352 0.8504
```

Crystal system: trigonal
Calculated total energy: -301.52 eV for the cell shown
DOS(E_F): 37.9 states/eV per cell
Calculated volume: 886.5 Å³ per cell

---

# 4
The following is a PBE calculation of a relaxed structure of ErTl2Te2O6, from Alexandria via LeMat-Bulk.

Structure (CIF):
```
data_ErTl2Te2O6
_space_group_name_H-M_alt 'C 1 2/m 1'
_space_group_IT_number 12
_cell_length_a 9.854
_cell_length_b 7.004
_cell_length_c 6.517
_cell_angle_alpha 90.00
_cell_angle_beta 111.12
_cell_angle_gamma 90.00
loop_
_space_group_symop_operation_xyz
'x,y,z'
'-x,-y,-z'
'-x,y,-z'
'x,-y,z'
'x+1/2,y+1/2,z'
'-x+1/2,-y+1/2,-z'
'-x+1/2,y+1/2,-z'
'x+1/2,-y+1/2,z'
loop_
_atom_site_label
_atom_site_type_symbol
_atom_site_fract_x
_atom_site_fract_y
_atom_site_fract_z
Er1 Er 0.000 0.000 0.000
Tl1 Tl 0.185 0.000 0.611
Te1 Te 0.053 0.500 0.755
O1 O 0.033 0.212 0.766
O2 O 0.246 0.000 0.190
```

Crystal system: monoclinic
Calculated total energy: -120.67 eV for the cell shown
DOS(E_F): 3.7 states/eV per cell
Calculated volume: 419.6 Å³ per cell

---

# 5
The following is a PBE calculation of a relaxed structure of ErTmTe2O8, from Alexandria via LeMat-Bulk.

Structure (CIF):
```
data_ErTmTe2O8
_space_group_name_H-M_alt 'I -4 m 2'
_space_group_IT_number 119
_space_group_name_Hall 'I -4 -2'
_cell_length_a 7.277
_cell_length_b 7.277
_cell_length_c 6.828
_cell_angle_alpha 90.00
_cell_angle_beta 90.00
_cell_angle_gamma 90.00
loop_
_atom_site_label
_atom_site_type_symbol
_atom_site_fract_x
_atom_site_fract_y
_atom_site_fract_z
Er1 Er 0.000 0.000 0.000
Tm1 Tm 0.000 0.500 0.750
Te1 Te 0.000 0.000 0.500
Te2 Te 0.000 0.500 0.250
O1 O 0.000 0.187 0.704
O2 O 0.000 0.314 0.045
```

Crystal system: tetragonal
Calculated total energy: -156.98 eV for the cell shown
DOS(E_F): 3.8 states/eV per cell
Calculated volume: 361.6 Å³ per cell

---

# 6
The following is a PBE calculation of a relaxed structure of ErTmTeO6, from Alexandria via LeMat-Bulk.

Structure (CIF):
```
data_ErTmTeO6
_space_group_name_H-M_alt 'P -3 1 c'
_space_group_IT_number 163
_space_group_name_Hall '-P 3 2c'
_cell_length_a 5.4799
_cell_length_b 5.4799
_cell_length_c 9.4293
_cell_angle_alpha 90.00
_cell_angle_beta 90.00
_cell_angle_gamma 120.00
loop_
_atom_site_label
_atom_site_type_symbol
_atom_site_fract_x
_atom_site_fract_y
_atom_site_fract_z
Er1 Er 0.0000 0.0000 0.0000
Tm1 Tm 0.3333 0.6667 0.2500
Te1 Te 0.3333 0.6667 0.7500
O1 O 0.0382 0.3682 0.6343
```

Crystal system: trigonal
Calculated total energy: -128.73 eV for the cell shown
DOS(E_F): 0.0 states/eV per cell
Calculated volume: 245.2 Å³ per cell

---

# 7
The following is a PBE calculation of a relaxed structure of Er2TmTeO8, from Alexandria via LeMat-Bulk.

Structure (CIF):
```
data_Er2TmTeO8
_space_group_name_H-M_alt 'C m m m'
_space_group_IT_number 65
_space_group_name_Hall '-C 2 2'
_cell_length_a 7.004
_cell_length_b 7.127
_cell_length_c 6.776
_cell_angle_alpha 90.00
_cell_angle_beta 90.00
_cell_angle_gamma 90.00
loop_
_atom_site_label
_atom_site_type_symbol
_atom_site_fract_x
_atom_site_fract_y
_atom_site_fract_z
Er1 Er 0.000 0.000 0.250
Tm1 Tm 0.000 0.500 0.000
Te1 Te 0.000 0.500 0.500
O1 O 0.000 0.317 0.284
O2 O 0.193 0.000 0.000
O3 O 0.222 0.000 0.500
```

Crystal system: orthorhombic
Calculated total energy: -174.02 eV for the cell shown
DOS(E_F): 16.7 states/eV per cell
Calculated volume: 338.2 Å³ per cell

---

# 8
The following is a PBE calculation of a relaxed structure of ErTm2TeO8, from Alexandria via LeMat-Bulk.

Structure (CIF):
```
data_ErTm2TeO8
_space_group_name_H-M_alt 'C m m m'
_space_group_IT_number 65
_space_group_name_Hall '-C 2 2'
_cell_length_a 6.978
_cell_length_b 7.089
_cell_length_c 6.782
_cell_angle_alpha 90.00
_cell_angle_beta 90.00
_cell_angle_gamma 90.00
loop_
_atom_site_label
_atom_site_type_symbol
_atom_site_fract_x
_atom_site_fract_y
_atom_site_fract_z
Er1 Er 0.000 0.000 0.000
Tm1 Tm 0.000 0.500 0.252
Te1 Te 0.000 0.000 0.500
O1 O 0.000 0.184 0.285
O2 O 0.190 0.500 0.000
O3 O 0.221 0.500 0.500
```

Crystal system: orthorhombic
Calculated total energy: -174.09 eV for the cell shown
DOS(E_F): 16.2 states/eV per cell
Calculated volume: 335.5 Å³ per cell

---

Look up the DOS(E_F) of the first one. 0.0 states/eV per cell

---

Which of these has the highest DOS(E_F)? ErTl2Te3O12

---

Which formula does entry 2 have? Er2TlTeO8